{"formula": "Dy6AsC2", "functional": "PBE", "state": "relaxed", "lattice_angstrom": [[6.3652, -2.4424, 0.0000], [6.3652, 2.4424, 0.0000], [-4.7261, 0.0000, 7.1139]], "species": ["Dy", "Dy", "Dy", "Dy", "Dy", "Dy", "As", "C", "C"], "fractional_positions": [[0.0324, 0.0324, 0.2031], [0.3057, 0.3057, 0.9295], [0.3443, 0.3443, 0.4149], [0.6557, 0.6557, 0.5851], [0.6943, 0.6943, 0.0705], [0.9676, 0.9676, 0.7969], [0.0000, 0.0000, 0.5000], [0.1796, 0.1796, 0.0914], [0.8204, 0.8204, 0.9086]], "formation_enthalpy_0k_ev_per_atom": -0.385}

{"formula": "Dy2AsC", "functional": "PBE", "state": "relaxed", "lattice_angstrom": [[4.3790, 0.0000, 0.0000], [-2.1895, 3.7924, 0.0000], [0.0000, 0.0000, 21.8570]], "species": ["Dy", "Dy", "Dy", "Dy", "Dy", "Dy", "As", "As", "As", "C", "C", "C"], "fractional_positions": [[0.0000, 0.0000, 0.0999], [0.0000, 0.0000, 0.9001], [0.3333, 0.6667, 0.5668], [0.3333, 0.6667, 0.7665], [0.6667, 0.3333, 0.2335], [0.6667, 0.3333, 0.4332], [0.0000, 0.0000, 0.5000], [0.3333, 0.6667, 0.1667], [0.6667, 0.3333, 0.8333], [0.0000, 0.0000, 0.0000], [0.3333, 0.6667, 0.6667], [0.6667, 0.3333, 0.3333]], "formation_enthalpy_0k_ev_per_atom": 0.250}

no.,DFT total energy (eV/cell)
1,-54.17
2,-66.23